(i)
Ca2PdCl | PBE | relaxed

Lattice parameters (Å, degrees): 6.6866 6.6866 6.6866 112.61 112.61 103.35
Atoms (fractional coordinates):
1 Ca 0.1254 0.6250 0.0004
2 Ca 0.3750 0.3754 0.5004
3 Ca 0.6246 0.1250 0.9996
4 Ca 0.8750 0.8746 0.4996
5 Pd 0.0000 0.0000 0.0000
6 Pd 0.7500 0.2500 0.5000
7 Cl 0.2500 0.7500 0.5000
8 Cl 0.5000 0.5000 0.0000

=====

(ii)
Ca2PdCl | PBE | relaxed

Lattice parameters (Å, degrees): 3.5201 3.5201 7.7616 90.00 90.00 90.00
Atoms (fractional coordinates):
1 Ca 0.0000 0.0000 0.2222
2 Ca 0.0000 0.0000 0.7778
3 Pd 0.5000 0.5000 0.0000
4 Cl 0.5000 0.5000 0.5000

=====

(iii)
Ca2PdCl | PBE | relaxed

Lattice parameters (Å, degrees): 5.1395 5.1395 5.1395 60.00 60.00 60.00
Atoms (fractional coordinates):
1 Ca 0.2500 0.2500 0.2500
2 Ca 0.7500 0.7500 0.7500
3 Pd 0.0000 0.0000 0.0000
4 Cl 0.5000 0.5000 0.5000

=====

(iv)
Ca2PdCl | PBE | relaxed

Lattice parameters (Å, degrees): 7.9474 7.9474 7.9474 29.33 29.33 29.33
Atoms (fractional coordinates):
1 Ca 0.0000 0.0000 0.0000
2 Ca 0.1873 0.1873 0.1873
3 Pd 0.5940 0.5940 0.5940
4 Cl 0.7634 0.7634 0.7634

=====

Out of the structures above, which one is the least stable? Solution: (iii).